Entry from the Alexandria database: a geometry-optimized KBa2 structure (PBE).

CIF file:
```
data_KBa2
_cell_length_a 8.799
_cell_length_b 8.799
_cell_length_c 10.954
_cell_angle_alpha 74.17
_cell_angle_beta 74.17
_cell_angle_gamma 29.49
_symmetry_space_group_name_H-M 'P 1'
_symmetry_Int_Tables_number 1
_symmetry_space_group_name_Hall 'P 1'
loop_
_atom_site_label
_atom_site_fract_x
_atom_site_fract_y
_atom_site_fract_z
Ba1 0.611 0.611 0.282
K1 0.940 0.940 0.616
K2 0.279 0.279 0.943
Ba2 0.665 0.665 0.659
Ba3 0.335 0.335 0.330
Ba4 0.004 0.004 0.003
```

Calculated values
As for the space-group type: Cm, No. 8. As for the formation energy: 0.084 eV/atom. The calculation puts the size of the total moment at 0.000 μB per formula unit. The value obtained for the total energy is -9.381 eV/cell.

---

Entry from the Alexandria database: a geometry-optimized K2Ba structure (PBE).

CIF file:
```
data_K2Ba
_cell_length_a 8.410
_cell_length_b 8.410
_cell_length_c 8.410
_cell_angle_alpha 105.62
_cell_angle_beta 105.62
_cell_angle_gamma 117.48
_symmetry_space_group_name_H-M 'P 1'
_symmetry_Int_Tables_number 1
_symmetry_space_group_name_Hall 'P 1'
loop_
_atom_site_label
_atom_site_fract_x
_atom_site_fract_y
_atom_site_fract_z
K1 0.145 0.645 0.790
Ba1 0.250 0.250 0.000
K2 0.355 0.145 0.500
Ba2 0.750 0.750 0.000
K3 0.855 0.355 0.210
K4 0.645 0.855 0.500
```

Calculated values
As for the space-group type: I4/mcm, No. 140. As for the formation energy: 0.209 eV/atom. The calculation puts the size of the total moment at 0.005 μB per formula unit. The value obtained for the total energy is -6.979 eV/cell.

---

Entry from the Alexandria database: a geometry-optimized K2Ba structure (PBE).

CIF file:
```
data_K2Ba
_cell_length_a 4.352
_cell_length_b 4.352
_cell_length_c 11.271
_cell_angle_alpha 101.13
_cell_angle_beta 101.13
_cell_angle_gamma 90.00
_symmetry_space_group_name_H-M 'P 1'
_symmetry_Int_Tables_number 1
_symmetry_space_group_name_Hall 'P 1'
loop_
_atom_site_label
_atom_site_fract_x
_atom_site_fract_y
_atom_site_fract_z
K1 0.336 0.336 0.672
Ba1 0.000 0.000 0.000
K2 0.664 0.664 0.328
```

Calculated values
As for the space-group type: I4/mmm, No. 139. As for the formation energy: 0.072 eV/atom. The calculation puts the size of the total moment at 0.000 μB per formula unit. The value obtained for the total energy is -3.902 eV/cell.

---

Q: Which of these has the highest size of the total moment?
A: number 2

---

Q: Number 1 is which compound?
A: KBa2

---

Q: size of the total moment of number 3 (K2Ba)?
A: 0.000 μB per formula unit